# 1
Compound: PrRhO3
Source: Alexandria
Functional: GGA-PBE
Structure: relaxed

Properties
E_form (uncorrected): -1906 meV/atom
Electronic total energy: -73.07 eV per cell
Density: 7.664 Mg/m³
SG: Pbam

The structure in POSCAR format:
```
PrRhO3
1.0
5.527 0.000 0.000
0.000 5.545 0.000
0.000 0.000 4.126
Pr Rh O
2 2 6
Direct
0.000 0.000 0.000
0.500 0.500 0.000
0.000 0.500 0.500
0.500 0.000 0.500
0.000 0.500 0.000
0.175 0.175 0.500
0.325 0.675 0.500
0.500 0.000 0.000
0.675 0.325 0.500
0.825 0.825 0.500
```

=====

# 2
Compound: PrRhO3
Source: Alexandria
Functional: GGA-PBE
Structure: relaxed

Properties
E_form (uncorrected): -2055 meV/atom
Electronic total energy: -149.12 eV per cell
Density: 7.626 Mg/m³
SG: Pnma

The structure in POSCAR format:
```
PrRhO3
1.0
5.919 0.000 0.000
0.000 7.887 0.000
0.000 0.000 5.445
Pr Rh O
4 4 12
Direct
0.077 0.250 0.025
0.423 0.750 0.525
0.577 0.250 0.475
0.923 0.750 0.975
0.000 0.000 0.500
0.000 0.500 0.500
0.500 0.000 0.000
0.500 0.500 0.000
0.035 0.750 0.389
0.196 0.554 0.815
0.196 0.946 0.815
0.304 0.054 0.315
0.304 0.446 0.315
0.465 0.250 0.889
0.535 0.750 0.111
0.696 0.554 0.685
0.696 0.946 0.685
0.804 0.054 0.185
0.804 0.446 0.185
0.965 0.250 0.611
```

=====

# 3
Compound: Pr6Rh2O
Source: Alexandria
Functional: GGA-PBE
Structure: relaxed

Properties
E_form (uncorrected): -938 meV/atom
Electronic total energy: -113.57 eV per cell
Density: 7.283 Mg/m³
SG: P2_1/c

The structure in POSCAR format:
```
Pr6Rh2O
1.0
6.594 0.000 0.000
0.000 7.321 0.000
-6.463 0.000 10.081
Pr Rh O
12 4 2
Direct
0.105 0.039 0.240
0.105 0.461 0.740
0.237 0.681 0.065
0.237 0.819 0.565
0.382 0.168 0.064
0.382 0.332 0.564
0.618 0.668 0.436
0.618 0.832 0.936
0.763 0.181 0.435
0.763 0.319 0.935
0.895 0.539 0.260
0.895 0.961 0.760
0.309 0.111 0.751
0.309 0.389 0.251
0.691 0.611 0.749
0.691 0.889 0.249
0.000 0.000 0.000
0.000 0.500 0.500
```

=====

# 4
Compound: Pr5Rh2O12
Source: Alexandria
Functional: GGA-PBE
Structure: relaxed

Properties
E_form (uncorrected): -2476 meV/atom
Electronic total energy: -145.14 eV per cell
Density: 6.354 Mg/m³
SG: C2/m

The structure in POSCAR format:
```
Pr5Rh2O12
1.0
6.433 -3.067 0.000
6.433 3.067 0.000
-2.260 0.000 7.300
Pr Rh O
5 2 12
Direct
0.000 0.000 0.000
0.306 0.306 0.143
0.307 0.307 0.666
0.693 0.693 0.334
0.694 0.694 0.857
0.246 0.754 0.500
0.754 0.246 0.500
0.001 0.001 0.672
0.095 0.597 0.923
0.101 0.578 0.420
0.403 0.905 0.077
0.422 0.899 0.580
0.500 0.500 0.324
0.500 0.500 0.676
0.578 0.101 0.420
0.597 0.095 0.923
0.899 0.422 0.580
0.905 0.403 0.077
0.999 0.999 0.328
```

=====

# 5
Compound: PrRh7O12
Source: Alexandria
Functional: GGA-PBE
Structure: relaxed

Properties
E_form (uncorrected): -938 meV/atom
Electronic total energy: -134.49 eV per cell
Density: 7.742 Mg/m³
SG: Im-3

The structure in POSCAR format:
```
PrRh7O12
1.0
-3.837 3.837 3.837
3.837 -3.837 3.837
3.837 3.837 -3.837
Pr Rh O
1 7 12
Direct
0.000 0.000 0.000
0.000 0.000 0.500
0.000 0.500 0.000
0.000 0.500 0.500
0.500 0.000 0.000
0.500 0.000 0.500
0.500 0.500 0.000
0.500 0.500 0.500
0.132 0.829 0.304
0.171 0.304 0.475
0.171 0.696 0.868
0.304 0.132 0.829
0.304 0.475 0.171
0.475 0.171 0.304
0.525 0.829 0.696
0.696 0.525 0.829
0.696 0.868 0.171
0.829 0.304 0.132
0.829 0.696 0.525
0.868 0.171 0.696
```

=====

# 6
Compound: PrRhO4
Source: Alexandria
Functional: GGA-PBE
Structure: relaxed

Properties
E_form (uncorrected): -1692 meV/atom
Electronic total energy: -84.23 eV per cell
Density: 5.656 Mg/m³
SG: C2/c

The structure in POSCAR format:
```
PrRhO4
1.0
3.614 -4.498 0.000
3.614 4.498 0.000
-2.579 0.000 5.560
Pr Rh O
2 2 8
Direct
0.133 0.867 0.750
0.867 0.133 0.250
0.494 0.506 0.250
0.506 0.494 0.750
0.204 0.211 0.103
0.211 0.204 0.603
0.334 0.627 0.500
0.373 0.666 0.000
0.627 0.334 0.000
0.666 0.373 0.500
0.789 0.796 0.397
0.796 0.789 0.897
```

=====

The records above yield calculated volume values of 126.5, 254.2, 486.7, 288.1, 225.9, 180.8 Å³/cell, respectively.